1.
TaGeP2O: relaxed, PBE.

Calculated values
The value obtained for the energy relative to the lowest polymorph listed for this composition is 0.794 eV/atom. For the formation energy (no corrections), the calculation gives 0.384 eV/atom. The total moment comes out at 0.0 μB/cell. Its energy is -6.065 eV/atom.

```
data_TaGeP2O
_cell_length_a 4.754
_cell_length_b 4.754
_cell_length_c 3.534
_cell_angle_alpha 90.00
_cell_angle_beta 90.00
_cell_angle_gamma 90.00
_symmetry_space_group_name_H-M 'P 4/m m m'
_symmetry_Int_Tables_number 123
_symmetry_space_group_name_Hall '-P 4 2'
loop_
_atom_site_label
_atom_site_type_symbol
_atom_site_fract_x
_atom_site_fract_y
_atom_site_fract_z
_atom_site_occupancy
Ta1 Ta 0.000 0.000 0.000 1
Ge1 Ge 0.500 0.500 0.500 1
P1 P 0.000 0.500 0.500 1
O1 O 0.500 0.500 0.000 1
```

2.
TaGeP2O: relaxed, PBE.

Calculated values
The value obtained for the energy relative to the lowest polymorph listed for this composition is 0.000 eV/atom. For the formation energy (no corrections), the calculation gives -0.410 eV/atom. The total moment comes out at 0.0 μB/cell. Its energy is -6.859 eV/atom.

```
data_TaGeP2O
_cell_length_a 4.955
_cell_length_b 4.955
_cell_length_c 3.853
_cell_angle_alpha 90.00
_cell_angle_beta 90.00
_cell_angle_gamma 90.00
_symmetry_space_group_name_H-M 'P 4/m m m'
_symmetry_Int_Tables_number 123
_symmetry_space_group_name_Hall '-P 4 2'
loop_
_atom_site_label
_atom_site_type_symbol
_atom_site_fract_x
_atom_site_fract_y
_atom_site_fract_z
_atom_site_occupancy
Ta1 Ta 0.000 0.000 0.000 1
Ge1 Ge 0.500 0.500 0.500 1
P1 P 0.000 0.500 0.000 1
O1 O 0.000 0.000 0.500 1
```

3.
GeTePO2: relaxed, PBE.

Calculated values
The value obtained for the energy relative to the lowest polymorph listed for this composition is 0.137 eV/atom. For the formation energy (no corrections), the calculation gives -0.111 eV/atom. The total moment comes out at 0.0 μB/cell. Its energy is -4.728 eV/atom.

```
data_GeTePO2
_cell_length_a 4.017
_cell_length_b 4.017
_cell_length_c 5.300
_cell_angle_alpha 90.00
_cell_angle_beta 90.00
_cell_angle_gamma 90.00
_symmetry_space_group_name_H-M 'P 4/m m m'
_symmetry_Int_Tables_number 123
_symmetry_space_group_name_Hall '-P 4 2'
loop_
_atom_site_label
_atom_site_type_symbol
_atom_site_fract_x
_atom_site_fract_y
_atom_site_fract_z
_atom_site_occupancy
Ge1 Ge 0.000 0.000 0.000 1
Te1 Te 0.500 0.500 0.500 1
P1 P 0.500 0.500 0.000 1
O1 O 0.000 0.500 0.500 1
```

4.
GeTeP2O: relaxed, PBE.

Calculated values
The value obtained for the energy relative to the lowest polymorph listed for this composition is 0.000 eV/atom. For the formation energy (no corrections), the calculation gives 0.185 eV/atom. The total moment comes out at 0.0 μB/cell. Its energy is -4.522 eV/atom.

```
data_GeTeP2O
_cell_length_a 4.923
_cell_length_b 4.923
_cell_length_c 3.651
_cell_angle_alpha 90.00
_cell_angle_beta 90.00
_cell_angle_gamma 90.00
_symmetry_space_group_name_H-M 'P 4/m m m'
_symmetry_Int_Tables_number 123
_symmetry_space_group_name_Hall '-P 4 2'
loop_
_atom_site_label
_atom_site_type_symbol
_atom_site_fract_x
_atom_site_fract_y
_atom_site_fract_z
_atom_site_occupancy
Ge1 Ge 0.000 0.000 0.000 1
Te1 Te 0.500 0.500 0.500 1
P1 P 0.000 0.500 0.000 1
O1 O 0.000 0.000 0.500 1
```